No. 1
DFT (PBE) results for La3Ce3Ge4 after structural relaxation.

Cell: 4.320 7.958 7.958 Å, 87.53 90.00 90.00°
Sites, in units of the cell vectors:
1 La 0.000 0.000 0.000
2 La 0.000 0.499 0.835
3 La 0.000 0.835 0.499
4 Ce 0.000 0.340 0.340
5 Ce 0.500 0.168 0.665
6 Ce 0.500 0.665 0.168
7 Ge 0.500 0.051 0.295
8 Ge 0.500 0.295 0.051
9 Ge 0.500 0.530 0.530
10 Ge 0.500 0.801 0.801

## Properties
DFT formation energy: -677 meV per atom
Fermi-level density of states: 1.889 states/eV/atom
theoretical density: 6.9 Mg/m³


No. 2
DFT (PBE) results for Er2Tm3S6 after structural relaxation.

Cell: 6.656 6.656 6.647 Å, 99.64 99.64 119.79°
Sites, in units of the cell vectors:
1 Er 0.165 0.835 0.000
2 Er 0.835 0.165 0.000
3 Tm 0.000 0.000 0.500
4 Tm 0.337 0.663 0.500
5 Tm 0.663 0.337 0.500
6 S 0.083 0.416 0.748
7 S 0.251 0.251 0.248
8 S 0.416 0.083 0.748
9 S 0.584 0.917 0.252
10 S 0.749 0.749 0.752
11 S 0.917 0.584 0.252

## Properties
Fermi-level density of states: 0.343 states/eV/atom
energy relative to the elements, uncorrected: -2.05 eV/atom
theoretical density: 7.1 Mg/m³


No. 3
DFT (PBE) results for ScTaSe2 after structural relaxation.

Cell: 5.665 5.665 12.916 Å, 90.00 90.00 90.00°
Sites, in units of the cell vectors:
1 Sc 0.000 0.000 0.000
2 Sc 0.000 0.500 0.250
3 Sc 0.500 0.000 0.750
4 Sc 0.500 0.500 0.500
5 Ta 0.000 0.000 0.500
6 Ta 0.000 0.500 0.750
7 Ta 0.500 0.000 0.250
8 Ta 0.500 0.500 0.000
9 Se 0.232 0.250 0.625
10 Se 0.250 0.732 0.875
11 Se 0.250 0.768 0.375
12 Se 0.268 0.250 0.125
13 Se 0.732 0.750 0.125
14 Se 0.750 0.232 0.375
15 Se 0.750 0.268 0.875
16 Se 0.768 0.750 0.625

## Properties
ΔE to the lowest computed polymorph: 2.06 eV per formula unit
Fermi-level density of states: 0.927 states/eV/atom
energy relative to the elements, uncorrected: -0.38 eV/atom
theoretical density: 6.2 Mg/m³


No. 4
DFT (PBE) results for Tb2Ce2ZnSi4 after structural relaxation.

Cell: 6.470 6.470 6.470 Å, 115.62 115.62 97.77°
Sites, in units of the cell vectors:
1 Tb 0.250 0.750 0.500
2 Tb 0.750 0.250 0.500
3 Ce 0.179 0.179 0.000
4 Ce 0.821 0.821 0.000
5 Zn 0.500 0.500 0.000
6 Si 0.258 0.258 0.516
7 Si 0.258 0.742 0.000
8 Si 0.742 0.258 0.000
9 Si 0.742 0.742 0.484

## Properties
Fermi-level density of states: 1.217 states/eV/atom
energy relative to the elements, uncorrected: -0.16 eV/atom
theoretical density: 6.4 Mg/m³


No. 5
DFT (PBE) results for LiMgCd4Ag2 after structural relaxation.

Cell: 4.061 4.061 11.091 Å, 90.00 90.00 90.00°
Sites, in units of the cell vectors:
1 Li 0.000 0.000 0.000
2 Mg 0.000 0.000 0.500
3 Cd 0.000 0.500 0.188
4 Cd 0.000 0.500 0.812
5 Cd 0.500 0.000 0.188
6 Cd 0.500 0.000 0.812
7 Ag 0.500 0.500 0.380
8 Ag 0.500 0.500 0.620

## Properties
DFT formation energy: 34 meV per atom
Fermi-level density of states: 0.281 states/eV/atom
theoretical density: 6.3 Mg/m³


No. 6
DFT (PBE) results for Sm2Y3HoSe6 after structural relaxation.

Cell: 9.183 9.183 8.263 Å, 103.00 103.00 25.77°
Sites, in units of the cell vectors:
1 Sm 0.168 0.168 0.336
2 Sm 0.832 0.832 0.664
3 Y 0.170 0.170 0.833
4 Y 0.500 0.500 0.500
5 Y 0.830 0.830 0.167
6 Ho 0.500 0.500 0.000
7 Se 0.002 0.002 0.754
8 Se 0.336 0.336 0.412
9 Se 0.336 0.336 0.923
10 Se 0.664 0.664 0.077
11 Se 0.664 0.664 0.588
12 Se 0.998 0.998 0.246

## Properties
Fermi-level density of states: 0.481 states/eV/atom
energy relative to the elements, uncorrected: -1.78 eV/atom
theoretical density: 6.8 Mg/m³


No. 7
DFT (PBE) results for InPbSN2 after structural relaxation.

Cell: 4.459 4.459 5.507 Å, 90.00 90.00 90.00°
Sites, in units of the cell vectors:
1 In 0.000 0.000 0.000
2 Pb 0.500 0.500 0.500
3 S 0.500 0.500 0.000
4 N 0.000 0.500 0.500
5 N 0.500 0.000 0.500

## Properties
ΔE to the lowest computed polymorph: 1.77 eV per formula unit
Fermi-level density of states: 0.832 states/eV/atom
energy relative to the elements, uncorrected: 1.41 eV/atom
theoretical density: 5.8 Mg/m³


No. 8
DFT (PBE) results for Tb3Nd5Sm4 after structural relaxation.

Cell: 8.737 8.737 9.421 Å, 114.65 114.65 40.25°
Sites, in units of the cell vectors:
1 Tb 0.000 0.000 0.000
2 Tb 0.292 0.292 0.773
3 Tb 0.708 0.708 0.227
4 Nd 0.075 0.075 0.701
5 Nd 0.173 0.173 0.388
6 Nd 0.500 0.500 0.000
7 Nd 0.827 0.827 0.612
8 Nd 0.925 0.925 0.299
9 Sm 0.284 0.284 0.122
10 Sm 0.418 0.418 0.559
11 Sm 0.582 0.582 0.441
12 Sm 0.716 0.716 0.878

## Properties
ΔE to the lowest computed polymorph: 2.36 eV per formula unit
DFT formation energy: 209 meV per atom
Fermi-level density of states: 1.635 states/eV/atom
theoretical density: 7.2 Mg/m³


No. 9
DFT (PBE) results for AlAs2Ir after structural relaxation.

Cell: 5.322 7.111 3.519 Å, 90.00 90.00 90.00°
Sites, in units of the cell vectors:
1 Al 0.000 0.000 0.000
2 Al 0.500 0.500 0.000
3 As 0.250 0.250 0.500
4 As 0.250 0.750 0.500
5 As 0.750 0.250 0.500
6 As 0.750 0.750 0.500
7 Ir 0.000 0.500 0.000
8 Ir 0.500 0.000 0.000

## Properties
DFT formation energy: 123 meV per atom
Fermi-level density of states: 0.372 states/eV/atom
theoretical density: 9.2 Mg/m³


No. 10
DFT (PBE) results for Al6GaRe after structural relaxation.

Cell: 5.532 5.532 5.532 Å, 109.13 109.13 109.13°
Sites, in units of the cell vectors:
1 Al 0.248 0.248 0.738
2 Al 0.248 0.738 0.248
3 Al 0.262 0.752 0.752
4 Al 0.738 0.248 0.248
5 Al 0.752 0.262 0.752
6 Al 0.752 0.752 0.262
7 Ga 0.000 0.000 0.000
8 Re 0.500 0.500 0.500

## Properties
DFT formation energy: 96 meV per atom
Fermi-level density of states: 0.480 states/eV/atom
theoretical density: 5.3 Mg/m³


No. 11
DFT (PBE) results for LaPm5Y2Er after structural relaxation.

Cell: 10.498 10.498 10.669 Å, 90.00 90.00 148.31°
Sites, in units of the cell vectors:
1 La 0.084 0.916 0.500
2 La 0.916 0.084 0.000
3 Pm 0.019 0.981 0.787
4 Pm 0.114 0.886 0.069
5 Pm 0.204 0.796 0.752
6 Pm 0.218 0.782 0.360
7 Pm 0.482 0.518 0.069
8 Pm 0.518 0.482 0.569
9 Pm 0.782 0.218 0.860
10 Pm 0.796 0.204 0.252
11 Pm 0.886 0.114 0.569
12 Pm 0.981 0.019 0.287
13 Y 0.385 0.615 0.366
14 Y 0.387 0.613 0.778
15 Y 0.613 0.387 0.278
16 Y 0.615 0.385 0.866
17 Er 0.299 0.701 0.056
18 Er 0.701 0.299 0.556

## Properties
DFT formation energy: 147 meV per atom
Fermi-level density of states: 1.621 states/eV/atom
theoretical density: 6.5 Mg/m³


No. 12
DFT (PBE) results for HfAuN2 after structural relaxation.

Cell: 3.316 3.316 18.498 Å, 90.00 90.00 120.00°
Sites, in units of the cell vectors:
1 Hf 0.000 0.000 0.000
2 Hf 0.333 0.667 0.667
3 Hf 0.667 0.333 0.333
4 Au 0.000 0.000 0.500
5 Au 0.333 0.667 0.167
6 Au 0.667 0.333 0.833
7 N 0.000 0.000 0.391
8 N 0.000 0.000 0.609
9 N 0.333 0.667 0.057
10 N 0.333 0.667 0.276
11 N 0.667 0.333 0.724
12 N 0.667 0.333 0.943

## Properties
ΔE to the lowest computed polymorph: 0.00 eV per formula unit
Fermi-level density of states: 1.335 states/eV/atom
energy relative to the elements, uncorrected: -0.49 eV/atom
theoretical density: 11.4 Mg/m³